Version a
A plane-wave DFT calculation with PBE was carried out for a geometry-optimized Pm2PrHg2 structure.

Results
* crystal system: trigonal

abc: 5.3240 5.3240 6.4800
angles: 90.00 90.00 120.00
With the nearest neighbours (Å) after each atom.
Element x y z (fractional)
1 Hg 0.3333 0.6667 0.1671  5 Pm 3.17-3.31, 3 Pr 3.26
2 Pm 0.3333 0.6667 0.6558  5 Hg 3.17-3.31
3 Pr 0.0000 0.0000 0.0000  6 Hg 3.26
4 Hg 0.6667 0.3333 0.8329  5 Pm 3.17-3.31, 3 Pr 3.26
5 Pm 0.6667 0.3333 0.3442  5 Hg 3.17-3.31

---

Version b
A plane-wave DFT calculation with PBE was carried out for a geometry-optimized Pm2PrHg2 structure.

Results
* crystal system: monoclinic

abc: 3.8428 5.4964 14.1224
angles: 90.00 97.86 90.00
With the nearest neighbours (Å) after each atom.
Element x y z (fractional)
1 Hg 0.4526 0.7500 0.9061  6 Pm 3.26-3.35, 2 Pr 3.35
2 Pr 0.8537 0.7500 0.7098  6 Hg 3.35-3.36, 2 Pm 3.74
3 Pm 0.0479 0.7500 0.0948  8 Hg 3.26-3.35
4 Pm 0.7649 0.2500 0.5281  2 Hg 3.21-3.22, 4 Pm 3.44-3.45
5 Hg 0.3563 0.2500 0.7124  4 Pm 3.21-3.31, 4 Pr 3.35-3.36
6 Pm 0.2351 0.7500 0.4719  2 Hg 3.21-3.22, 4 Pm 3.44-3.45
7 Pm 0.9521 0.2500 0.9052  8 Hg 3.26-3.35
8 Hg 0.6437 0.7500 0.2876  4 Pm 3.21-3.31, 4 Pr 3.35-3.36
9 Pr 0.1463 0.2500 0.2902  6 Hg 3.35-3.36, 2 Pm 3.74
10 Hg 0.5474 0.2500 0.0939  6 Pm 3.26-3.35, 2 Pr 3.35

---

Energies relative to the most stable structure are version a 134; version b 0, reported in meV per atom.

---

Version a
A plane-wave DFT calculation with PBE was carried out for a geometry-optimized PmPrHgRu structure.

Results
* crystal system: cubic

abc: 5.1957 5.1957 5.1957
angles: 60.00 60.00 60.00
With the nearest neighbours (Å) after each atom.
Element x y z (fractional)
1 Hg 0.2500 0.2500 0.2500  4 Pr 3.18, 4 Pm 3.18
2 Ru 0.7500 0.7500 0.7500  4 Pm 3.18, 4 Pr 3.18
3 Pr 0.0000 0.0000 0.0000  4 Hg 3.18, 4 Ru 3.18
4 Pm 0.5000 0.5000 0.5000  4 Hg 3.18, 4 Ru 3.18

---

Version b
A plane-wave DFT calculation with PBE was carried out for a geometry-optimized PmPrHgRu structure.

Results
* crystal system: tetragonal

abc: 3.5841 3.5841 7.8066
angles: 90.00 90.00 90.00
With the nearest neighbours (Å) after each atom.
Element x y z (fractional)
1 Pr 0.5000 0.5000 0.7909  4 Ru 3.08, 4 Hg 3.38, 1 Pm 3.44
2 Pm 0.5000 0.5000 0.3506  4 Ru 3.04, 4 Hg 3.31
3 Hg 0.0000 0.0000 0.0775  4 Pm 3.31, 4 Pr 3.38, 4 Hg 3.58
4 Ru 0.0000 0.0000 0.5657  4 Pm 3.04, 4 Pr 3.08

---

Energies relative to the most stable structure are version a 83; version b 0, reported in meV per atom.

---

Version a
A plane-wave DFT calculation with PBE was carried out for a geometry-optimized PmPrScHg structure.

Results
* crystal system: cubic

abc: 5.3930 5.3930 5.3930
angles: 60.00 60.00 60.00
With the nearest neighbours (Å) after each atom.
Element x y z (fractional)
1 Sc 0.0000 0.0000 0.0000  4 Hg 3.30, 4 Pm 3.30
2 Pm 0.2500 0.2500 0.2500  4 Sc 3.30, 4 Pr 3.30
3 Hg 0.7500 0.7500 0.7500  4 Pr 3.30, 4 Sc 3.30
4 Pr 0.5000 0.5000 0.5000  4 Pm 3.30, 4 Hg 3.30

---

Version b
A plane-wave DFT calculation with PBE was carried out for a geometry-optimized PmPrScHg structure.

Results
* crystal system: cubic

abc: 5.4473 5.4473 5.4473
angles: 60.00 60.00 60.00
With the nearest neighbours (Å) after each atom.
Element x y z (fractional)
1 Hg 0.5000 0.5000 0.5000  4 Pm 3.34, 4 Pr 3.34
2 Pr 0.2500 0.2500 0.2500  4 Hg 3.34, 4 Sc 3.34
3 Sc 0.0000 0.0000 0.0000  4 Pr 3.34, 4 Pm 3.34
4 Pm 0.7500 0.7500 0.7500  4 Hg 3.34, 4 Sc 3.34

---

Energies relative to the most stable structure are version a 78; version b 0, reported in meV per atom.